{"formula": "Pr2Sm2Er2In", "functional": "PBE", "state": "relaxed", "dos_at_fermi_per_ev_atom": 1.492, "space_group": "No. 12", "ef_ev_per_atom": -0.0258, "energy_ev_per_atom": -4.435, "magnetic_moment_mub_per_atom": 0.000, "lattice_angstrom": [[3.6580, 0.0000, 0.0000], [-1.8290, 5.9729, -1.2044], [0.0000, -2.9799, 11.1697]], "species": ["Pr", "Pr", "Sm", "Sm", "Er", "Er", "In"], "fractional_positions": [[0.5202, 0.0405, 0.7487], [0.4798, 0.9595, 0.2513], [0.6819, 0.3639, 0.0903], [0.3181, 0.6361, 0.9097], [0.7387, 0.4775, 0.6202], [0.2613, 0.5225, 0.3798], [0.0000, 0.0000, 0.5000]]}